1.
DFT (PBE) results for an optimized crystal structure of Ce6Sb3C2.

* ΔE_f (raw): -0.641 eV/atom
* symmetry: I4/mmm, No. 139
* raw total energy: -6.679 eV/atom

Lattice parameters (Å, degrees): 13.576 13.576 13.576 159.85 159.85 28.65
Fractional coordinates of all 11 atoms:
Ce1 0.085 0.585 0.500
Ce2 0.196 0.196 0.000
Ce3 0.415 0.915 0.500
Ce4 0.585 0.085 0.500
Ce5 0.804 0.804 0.000
Ce6 0.915 0.415 0.500
Sb1 0.322 0.322 0.000
Sb2 0.500 0.500 0.000
Sb3 0.678 0.678 0.000
C1 0.107 0.107 0.000
C2 0.893 0.893 0.000

=====

2.
DFT (PBE) results for an optimized crystal structure of Ce6Sb3C.

* ΔE_f (raw): -0.599 eV/atom
* symmetry: P2_1/c, No. 14
* raw total energy: -6.318 eV/atom

Lattice parameters (Å, degrees): 6.246 8.350 12.318 90.00 119.71 90.00
Fractional coordinates of all 20 atoms:
Ce1 0.047 0.216 0.452
Ce2 0.047 0.284 0.952
Ce3 0.292 0.653 0.455
Ce4 0.292 0.847 0.955
Ce5 0.344 0.035 0.223
Ce6 0.344 0.465 0.723
Ce7 0.656 0.535 0.277
Ce8 0.656 0.965 0.777
Ce9 0.708 0.153 0.045
Ce10 0.708 0.347 0.545
Ce11 0.953 0.716 0.048
Ce12 0.953 0.784 0.548
Sb1 0.154 0.112 0.745
Sb2 0.154 0.388 0.245
Sb3 0.500 0.000 0.500
Sb4 0.500 0.500 0.000
Sb5 0.846 0.612 0.755
Sb6 0.846 0.888 0.255
C1 0.000 0.000 0.000
C2 0.000 0.500 0.500

=====

3.
DFT (PBE) results for an optimized crystal structure of Ce5Sb3C.

* ΔE_f (raw): -0.819 eV/atom
* symmetry: P6_3/mcm, No. 193
* raw total energy: -6.515 eV/atom

Lattice parameters (Å, degrees): 9.256 9.256 6.381 90.00 90.00 120.00
Fractional coordinates of all 18 atoms:
Ce1 0.000 0.219 0.250
Ce2 0.000 0.781 0.750
Ce3 0.219 0.000 0.250
Ce4 0.219 0.219 0.750
Ce5 0.333 0.667 0.000
Ce6 0.333 0.667 0.500
Ce7 0.667 0.333 0.000
Ce8 0.667 0.333 0.500
Ce9 0.781 0.000 0.750
Ce10 0.781 0.781 0.250
Sb1 0.000 0.396 0.750
Sb2 0.000 0.604 0.250
Sb3 0.396 0.000 0.750
Sb4 0.396 0.396 0.250
Sb5 0.604 0.000 0.250
Sb6 0.604 0.604 0.750
C1 0.000 0.000 0.000
C2 0.000 0.000 0.500

=====

4.
DFT (PBE) results for an optimized crystal structure of Ce7Sb3C2.

* ΔE_f (raw): -0.641 eV/atom
* symmetry: Cmmm, No. 65
* raw total energy: -6.670 eV/atom

Lattice parameters (Å, degrees): 12.712 12.712 4.842 90.00 90.00 157.52
Fractional coordinates of all 12 atoms:
Ce1 0.000 0.000 0.000
Ce2 0.094 0.906 0.500
Ce3 0.201 0.799 0.000
Ce4 0.403 0.597 0.000
Ce5 0.597 0.403 0.000
Ce6 0.799 0.201 0.000
Ce7 0.906 0.094 0.500
Sb1 0.312 0.688 0.500
Sb2 0.500 0.500 0.500
Sb3 0.688 0.312 0.500
C1 0.104 0.896 0.000
C2 0.896 0.104 0.000

=====

5.
DFT (PBE) results for an optimized crystal structure of Ce5Sb5C.

* ΔE_f (raw): -0.519 eV/atom
* symmetry: C2/m, No. 12
* raw total energy: -5.928 eV/atom

Lattice parameters (Å, degrees): 7.509 7.509 8.543 109.33 109.33 48.08
Fractional coordinates of all 11 atoms:
Ce1 0.000 0.000 0.000
Ce2 0.352 0.352 0.707
Ce3 0.353 0.353 0.133
Ce4 0.647 0.647 0.867
Ce5 0.648 0.648 0.293
Sb1 0.145 0.145 0.793
Sb2 0.193 0.193 0.333
Sb3 0.500 0.500 0.500
Sb4 0.807 0.807 0.667
Sb5 0.855 0.855 0.207
C1 0.500 0.500 0.000

=====

6.
DFT (PBE) results for an optimized crystal structure of Ce8Sb2C3.

* ΔE_f (raw): -0.315 eV/atom
* symmetry: C2/m, No. 12
* raw total energy: -6.730 eV/atom

Lattice parameters (Å, degrees): 8.306 8.306 6.336 98.96 98.96 53.19
Fractional coordinates of all 13 atoms:
Ce1 0.079 0.079 0.433
Ce2 0.163 0.657 0.121
Ce3 0.343 0.837 0.879
Ce4 0.397 0.397 0.626
Ce5 0.603 0.603 0.374
Ce6 0.657 0.163 0.121
Ce7 0.837 0.343 0.879
Ce8 0.921 0.921 0.567
Sb1 0.242 0.242 0.181
Sb2 0.758 0.758 0.819
C1 0.283 0.717 0.500
C2 0.500 0.500 0.000
C3 0.717 0.283 0.500

=====

7.
DFT (PBE) results for an optimized crystal structure of Ce5Sn2SbC.

* ΔE_f (raw): -0.549 eV/atom
* symmetry: P4/mmm, No. 123
* raw total energy: -6.218 eV/atom

Lattice parameters (Å, degrees): 4.798 4.798 11.544 90.00 90.00 90.00
Fractional coordinates of all 9 atoms:
Ce1 0.000 0.000 0.000
Ce2 0.000 0.500 0.500
Ce3 0.500 0.000 0.500
Ce4 0.500 0.500 0.271
Ce5 0.500 0.500 0.729
Sn1 0.000 0.000 0.292
Sn2 0.000 0.000 0.708
Sb1 0.500 0.500 0.000
C1 0.500 0.500 0.500

=====

8.
DFT (PBE) results for an optimized crystal structure of Ce4SbTeC.

* ΔE_f (raw): -0.743 eV/atom
* symmetry: Cmcm, No. 63
* raw total energy: -6.489 eV/atom

Lattice parameters (Å, degrees): 8.860 8.860 6.826 90.00 90.00 134.71
Fractional coordinates of all 14 atoms:
Ce1 0.000 0.500 0.000
Ce2 0.000 0.500 0.500
Ce3 0.092 0.908 0.750
Ce4 0.407 0.593 0.750
Ce5 0.500 0.000 0.000
Ce6 0.500 0.000 0.500
Ce7 0.593 0.407 0.250
Ce8 0.908 0.092 0.250
Sb1 0.108 0.892 0.250
Sb2 0.892 0.108 0.750
Te1 0.391 0.609 0.250
Te2 0.609 0.391 0.750
C1 0.250 0.750 0.750
C2 0.750 0.250 0.250

=====

Among the records above, which one has the lowest raw total energy?
Ce8Sb2C3

=====

Number 2 is which compound?
Ce6Sb3C